[1]
This record from Alexandria via LeMat-Bulk describes crystalline Re2PbBr at its relaxed geometry. The functional is PBE.

Lattice parameters (Å, degrees): 4.673 4.673 4.673 60.00 60.00 60.00
Fractional coordinates of all 4 atoms:
Pb 0.500 0.500 0.500
Br 0.000 0.000 0.000
Re 0.750 0.750 0.750
Re 0.250 0.250 0.250

Properties
E_form (uncorrected)	1.59	eV/atom
symmetry	Fm-3m
M_tot	0.000	μB/cell
Fermi-level density of states	0.7766	states/eV per atom
E above lowest polymorph	1283.5	meV/atom

[2]
This record from Alexandria via LeMat-Bulk describes crystalline NaInF3 at its relaxed geometry. The functional is PBE.

Lattice parameters (Å, degrees): 4.494 4.494 4.494 90.00 90.00 90.00
Fractional coordinates of all 5 atoms:
In 0.000 0.000 0.000
Na 0.500 0.500 0.500
F 0.500 0.000 0.000
F 0.000 0.000 0.500
F 0.000 0.500 0.000

Properties
E_form (uncorrected)	-2.23	eV/atom
symmetry	Pm-3m
M_tot	0.000	μB/cell
Fermi-level density of states	0.1587	states/eV per atom
E above lowest polymorph	229.4	meV/atom

[3]
This record from Alexandria via LeMat-Bulk describes crystalline RePtSe4 at its relaxed geometry. The functional is PBE.

Lattice parameters (Å, degrees): 5.509 5.509 5.509 60.00 60.00 60.00
Fractional coordinates of all 6 atoms:
Se 0.375 0.375 0.874
Se 0.375 0.874 0.375
Se 0.874 0.375 0.375
Se 0.375 0.375 0.375
Re 0.000 0.000 0.000
Pt 0.750 0.750 0.750

Properties
E_form (uncorrected)	1.46	eV/atom
symmetry	F-43m
M_tot	3.588	μB/cell
Fermi-level density of states	1.1531	states/eV per atom
E above lowest polymorph	1614.4	meV/atom

[4]
This record from Alexandria via LeMat-Bulk describes crystalline Re2HgOs2 at its relaxed geometry. The functional is PBE.

Lattice parameters (Å, degrees): 4.015 4.015 6.273 71.34 71.34 90.00
Fractional coordinates of all 5 atoms:
Re 0.250 0.750 0.500
Re 0.750 0.250 0.500
Os 0.612 0.612 0.777
Os 0.388 0.388 0.223
Hg 0.000 0.000 0.000

Properties
symmetry	I4/mmm
M_tot	0.000	μB/cell
Fermi-level density of states	0.7479	states/eV per atom
E above lowest polymorph	208.9	meV/atom
energy of formation	619	meV/atom

[5]
This record from Alexandria via LeMat-Bulk describes crystalline Pm3Dy6Ho at its relaxed geometry. The functional is PBE.

Lattice parameters (Å, degrees): 6.529 9.607 6.544 110.26 119.91 89.89
Fractional coordinates of all 10 atoms:
Dy 0.653 0.950 0.299
Dy 0.989 0.686 0.549
Dy 0.347 0.050 0.701
Dy 0.560 0.686 0.697
Dy 0.011 0.314 0.451
Dy 0.440 0.314 0.303
Ho 0.500 0.500 0.000
Pm 0.143 0.689 0.130
Pm 0.000 0.000 0.000
Pm 0.857 0.311 0.870

Properties
symmetry	P-1
M_tot	0.000	μB/cell
Fermi-level density of states	1.2325	states/eV per atom
E above lowest polymorph	8.1	meV/atom
energy of formation	157	meV/atom

[6]
This record from Alexandria via LeMat-Bulk describes crystalline HfS at its relaxed geometry. The functional is PBE.

Lattice parameters (Å, degrees): 3.398 3.398 3.442 90.00 90.00 120.00
Fractional coordinates of all 2 atoms:
Hf 0.000 0.000 0.000
S 0.667 0.333 0.500

Properties
E_form (uncorrected)	-1.51	eV/atom
symmetry	P-6m2
M_tot	0.000	μB/cell
Fermi-level density of states	0.0094	states/eV per atom